*1*
La4CoSn2, relaxed, DFT PBE; DOS(E_F) = 7.0 states/eV/cell
1.0
6.429 0.000 -0.715
0.000 7.094 0.000
-3.193 0.000 9.867
La Sn Co
8 4 2
direct
0.486 0.000 0.257
0.885 0.250 0.087
0.514 0.000 0.743
0.486 0.500 0.257
0.514 0.500 0.743
0.115 0.750 0.913
0.893 0.250 0.606
0.107 0.750 0.394
0.758 0.750 0.563
0.242 0.250 0.437
0.300 0.250 0.947
0.700 0.750 0.053
0.137 0.750 0.161
0.863 0.250 0.839


*2*
La4CoSn2, relaxed, DFT PBE; DOS(E_F) = 5.1 states/eV/cell
1.0
-3.863 -1.199 3.018
-0.733 -4.247 -2.625
3.216 -6.989 5.559
Co La Sn
1 4 2
direct
0.000 0.000 0.000
0.500 0.000 0.000
0.175 0.175 0.650
0.825 0.825 0.350
0.000 0.500 0.000
0.361 0.361 0.279
0.639 0.639 0.721


It comes down to *1*, which is 19 meV/atom more stable than the next structure.


*1*
SrLa2CoSn, relaxed, DFT PBE; DOS(E_F) = 2.9 states/eV/cell
1.0
5.240 0.000 0.000
0.000 5.240 0.000
0.000 0.000 5.612
La Co Sn Sr
2 1 1 1
direct
0.000 0.500 0.000
0.500 0.000 0.000
0.000 0.000 0.000
0.500 0.500 0.500
0.000 0.000 0.500


*2*
SrLa2CoSn, relaxed, DFT PBE; DOS(E_F) = 5.7 states/eV/cell
1.0
5.383 0.000 0.000
0.000 5.248 0.000
0.000 0.000 5.383
La Co Sn Sr
2 1 1 1
direct
0.500 0.000 0.000
0.000 0.000 0.500
0.000 0.000 0.000
0.000 0.500 0.000
0.500 0.500 0.500


It comes down to *1*, which is 46 meV/atom more stable than the next structure.


*1*
LaY2CoSn, relaxed, DFT PBE; DOS(E_F) = 7.6 states/eV/cell
1.0
5.788 0.000 0.000
0.000 5.788 0.000
0.000 0.000 4.750
Y La Sn Co
2 1 1 1
direct
0.500 0.000 0.000
0.000 0.500 0.000
0.500 0.500 0.500
0.000 0.000 0.000
0.000 0.000 0.500


*2*
LaY2CoSn, relaxed, DFT PBE; DOS(E_F) = 3.9 states/eV/cell
1.0
5.252 0.000 0.000
0.000 5.252 0.000
0.000 0.000 5.040
Y Co La Sn
2 1 1 1
direct
0.500 0.000 0.000
0.000 0.500 0.000
0.000 0.000 0.000
0.000 0.000 0.500
0.500 0.500 0.500


It comes down to *2*, which is 778 meV/atom more stable than the next structure.


*1*
Sr3LaCo, relaxed, DFT PBE; DOS(E_F) = 14.3 states/eV/cell
1.0
6.159 0.000 0.000
0.000 6.159 0.000
0.000 0.000 6.159
La Sr Co
1 3 1
direct
0.000 0.000 0.000
0.000 0.000 0.500
0.000 0.500 0.000
0.500 0.000 0.000
0.500 0.500 0.500


*2*
Sr3LaCo, relaxed, DFT PBE; DOS(E_F) = 4.5 states/eV/cell
1.0
5.834 0.000 0.000
0.000 5.834 0.000
0.000 0.000 5.834
La Sr Co
1 3 1
direct
0.500 0.500 0.500
0.000 0.000 0.500
0.500 0.000 0.000
0.000 0.500 0.000
0.000 0.000 0.000


It comes down to *2*, which is 1071 meV/atom more stable than the next structure.


*1*
SrLa2Co2, relaxed, DFT PBE; DOS(E_F) = 3.5 states/eV/cell
1.0
5.006 0.000 0.000
0.000 5.006 0.000
2.503 2.503 5.641
Co Sr La
2 1 2
direct
0.750 0.250 0.500
0.250 0.750 0.500
0.000 0.000 0.000
0.674 0.674 0.653
0.326 0.326 0.347


*2*
SrLa2Co2, relaxed, DFT PBE; DOS(E_F) = 5.9 states/eV/cell
1.0
-5.622 -4.086 4.260
4.620 -6.707 -0.336
1.722 1.023 3.254
Co La Sr
4 4 2
direct
0.874 0.626 0.000
0.626 0.126 0.000
0.126 0.374 0.000
0.374 0.874 0.000
0.646 0.854 0.500
0.354 0.146 0.500
0.146 0.646 0.500
0.854 0.354 0.500
0.500 0.500 0.000
0.000 0.000 0.000


It comes down to *2*, which is 63 meV/atom more stable than the next structure.


*1*
SrLaCo, relaxed, DFT PBE; DOS(E_F) = 2.6 states/eV/cell
1.0
7.417 0.072 -0.069
6.521 3.528 0.107
0.896 0.044 3.460
Sr Co La
1 1 1
direct
0.631 0.631 0.369
0.984 0.984 0.016
0.385 0.385 0.615


*2*
SrLaCo, relaxed, DFT PBE; DOS(E_F) = 2.4 states/eV/cell
1.0
4.984 0.000 0.000
2.492 4.316 0.000
2.492 1.439 4.070
Sr Co La
1 1 1
direct
0.500 0.500 0.500
0.750 0.750 0.750
0.000 0.000 0.000


It comes down to *1*, which is 129 meV/atom more stable than the next structure.